(1)
Crystalline TiSiOs at its relaxed geometry, computed with GGA-PBE.

Values from the calculation:
- Theoretical density: 10.33 g/cm3
- Raw formation energy: -483 meV per atom
- Final energy: -8.6657 eV per atom
- Volume: 85.59 Å³/cell

Geometry as CIF:
```
data_TiSiOs
_chemical_formula_sum 'Ti2 Si2 Os2'
_cell_length_a 2.993
_cell_length_b 2.993
_cell_length_c 9.556
_cell_angle_alpha 90.00
_cell_angle_beta 90.00
_cell_angle_gamma 90.00
_space_group_name_H-M_alt 'I 4 m m'
_space_group_IT_number 107
_space_group_name_Hall 'I 4 -2'
loop_
_atom_site_label
_atom_site_type_symbol
_atom_site_fract_x
_atom_site_fract_y
_atom_site_fract_z
Ti1 Ti 0.000 0.000 0.000
Si1 Si 0.000 0.000 0.684
Os1 Os 0.000 0.000 0.322
```

---

(2)
Crystalline Sr2Ga6NiRu at its relaxed geometry, computed with GGA-PBE.

Values from the calculation:
- Theoretical density: 5.94 g/cm3
- Final energy: -4.0590 eV per atom
- Volume: 210.72 Å³/cell
- E_form: -38.67 kJ/mol of atoms

Geometry as CIF:
```
data_Sr2Ga6NiRu
_chemical_formula_sum 'Sr2 Ga6 Ni1 Ru1'
_cell_length_a 6.165
_cell_length_b 6.494
_cell_length_c 6.922
_cell_angle_alpha 65.05
_cell_angle_beta 63.60
_cell_angle_gamma 61.77
_space_group_name_H-M_alt 'P -1'
_space_group_IT_number 2
_space_group_name_Hall '-P 1'
loop_
_atom_site_label
_atom_site_type_symbol
_atom_site_fract_x
_atom_site_fract_y
_atom_site_fract_z
Sr1 Sr 0.232 0.179 0.356
Ga1 Ga 0.214 0.280 0.807
Ga2 Ga 0.247 0.680 0.827
Ga3 Ga 0.301 0.720 0.192
Ni1 Ni 0.000 0.000 0.000
Ru1 Ru 0.500 0.500 0.500
```

---

(3)
Crystalline BaCdGa4Ag2 at its relaxed geometry, computed with GGA-PBE.

Values from the calculation:
- Theoretical density: 6.71 g/cm3
- Final energy: -2.7286 eV per atom
- Volume: 552.98 Å³/cell
- E_form: -14.24 kJ/mol of atoms

Geometry as CIF:
```
data_BaCdGa4Ag2
_chemical_formula_sum 'Ba3 Cd3 Ga12 Ag6'
_cell_length_a 4.5884
_cell_length_b 4.5884
_cell_length_c 30.3291
_cell_angle_alpha 90.00
_cell_angle_beta 90.00
_cell_angle_gamma 120.00
_space_group_name_H-M_alt 'R -3 m'
_space_group_IT_number 166
_space_group_name_Hall '-R 3 2"'
loop_
_atom_site_label
_atom_site_type_symbol
_atom_site_fract_x
_atom_site_fract_y
_atom_site_fract_z
Ba1 Ba 0.0000 0.0000 0.0000
Cd1 Cd 0.0000 0.0000 0.5000
Ga1 Ga 0.0000 0.0000 0.1198
Ga2 Ga 0.0000 0.0000 0.4040
Ag1 Ag 0.0000 0.0000 0.2362
```

---

(4)
Crystalline FeMo3Pt at its relaxed geometry, computed with GGA-PBE.

Values from the calculation:
- Theoretical density: 10.48 g/cm3
- Final energy: -8.4357 eV per atom
- Volume: 85.40 Å³/cell
- E_form: 92.98 kJ/mol of atoms

Geometry as CIF:
```
data_FeMo3Pt
_chemical_formula_sum 'Fe1 Mo3 Pt1'
_cell_length_a 4.404
_cell_length_b 4.404
_cell_length_c 4.404
_cell_angle_alpha 90.00
_cell_angle_beta 90.00
_cell_angle_gamma 90.00
_space_group_name_H-M_alt 'P m -3 m'
_space_group_IT_number 221
_space_group_name_Hall '-P 4 2 3'
loop_
_atom_site_label
_atom_site_type_symbol
_atom_site_fract_x
_atom_site_fract_y
_atom_site_fract_z
Fe1 Fe 0.000 0.000 0.000
Mo1 Mo 0.000 0.000 0.500
Pt1 Pt 0.500 0.500 0.500
```

---

Look up the theoretical density of the second one. 5.94 g/cm3

---

Which of these has the highest final energy? BaCdGa4Ag2